(1)
A geometry-optimized NaGe2AsO6 structure, computed with GGA-PBE.

The structure in CIF format:
```
data_NaGe2AsO6
_chemical_formula_sum 'Na4 Ge8 As4 O24'
_space_group_name_H-M_alt 'C 1 2/c 1'
_space_group_IT_number 15
_space_group_name_Hall '-C 2yc'
_cell_length_a 10.5832
_cell_length_b 9.3594
_cell_length_c 5.6876
_cell_angle_alpha 90.00
_cell_angle_beta 107.25
_cell_angle_gamma 90.00
loop_
_atom_site_label
_atom_site_fract_x
_atom_site_fract_y
_atom_site_fract_z
Na1 0.0000 0.0989 0.2500
Ge1 0.2210 0.4023 0.2138
As1 0.0000 0.2626 0.7500
O1 0.1024 0.1218 0.6644
O2 0.1310 0.2478 0.1060
O3 0.1791 0.4620 0.4813
```

energy relative to the elements, uncorrected: -1.558 eV per atom

***

(2)
A geometry-optimized NaGeAs2O8 structure, computed with GGA-PBE.

The structure in CIF format:
```
data_NaGeAs2O8
_chemical_formula_sum 'Na3 Ge3 As6 O24'
_space_group_name_H-M_alt 'R 3 2'
_space_group_IT_number 155
_space_group_name_Hall 'R 3 2"'
_cell_length_a 4.8962
_cell_length_b 4.8962
_cell_length_c 25.4300
_cell_angle_alpha 90.00
_cell_angle_beta 90.00
_cell_angle_gamma 120.00
loop_
_atom_site_label
_atom_site_fract_x
_atom_site_fract_y
_atom_site_fract_z
Na1 0.0000 0.0000 0.0000
Ge1 0.0000 0.0000 0.5000
As1 0.0000 0.0000 0.2380
O1 0.0000 0.0000 0.3041
O2 0.0197 0.3760 0.1182
```

energy relative to the elements, uncorrected: -1.117 eV per atom

***

(3)
A geometry-optimized Na2GeAs2Pd5 structure, computed with GGA-PBE.

The structure in CIF format:
```
data_Na2GeAs2Pd5
_chemical_formula_sum 'Na4 Ge2 As4 Pd10'
_space_group_name_H-M_alt 'P 4/m b m'
_space_group_IT_number 127
_space_group_name_Hall '-P 4 2ab'
_cell_length_a 10.6715
_cell_length_b 10.6715
_cell_length_c 3.0954
_cell_angle_alpha 90.00
_cell_angle_beta 90.00
_cell_angle_gamma 90.00
loop_
_atom_site_label
_atom_site_fract_x
_atom_site_fract_y
_atom_site_fract_z
Na1 0.1732 0.3268 0.0000
Ge1 0.0000 0.0000 0.0000
As1 0.1333 0.6333 0.0000
Pd1 0.0000 0.5000 0.5000
Pd2 0.0558 0.8122 0.5000
```

E_form: -40.0 kJ per mole of atoms

***

(4)
A geometry-optimized Na2GeAs3Pd4 structure, computed with GGA-PBE.

The structure in CIF format:
```
data_Na2GeAs3Pd4
_chemical_formula_sum 'Na2 Ge1 As3 Pd4'
_space_group_name_H-M_alt 'P -4 m 2'
_space_group_IT_number 115
_space_group_name_Hall 'P -4 -2'
_cell_length_a 4.3404
_cell_length_b 4.3404
_cell_length_c 10.3075
_cell_angle_alpha 90.00
_cell_angle_beta 90.00
_cell_angle_gamma 90.00
loop_
_atom_site_label
_atom_site_fract_x
_atom_site_fract_y
_atom_site_fract_z
Na1 0.0000 0.5000 0.2459
Ge1 0.0000 0.0000 0.5000
As1 0.0000 0.5000 0.8726
As2 0.5000 0.5000 0.5000
Pd1 0.0000 0.0000 0.0000
Pd2 0.0000 0.5000 0.6321
Pd3 0.5000 0.5000 0.0000
```

E_form: -38.5 kJ per mole of atoms

***

(5)
A geometry-optimized NaGeAsS4 structure, computed with GGA-PBE.

The structure in CIF format:
```
data_NaGeAsS4
_chemical_formula_sum 'Na4 Ge4 As4 S16'
_space_group_name_H-M_alt 'C m c m'
_space_group_IT_number 63
_space_group_name_Hall '-C 2c 2'
_cell_length_a 7.5517
_cell_length_b 11.0811
_cell_length_c 8.5570
_cell_angle_alpha 90.00
_cell_angle_beta 90.00
_cell_angle_gamma 90.00
loop_
_atom_site_label
_atom_site_fract_x
_atom_site_fract_y
_atom_site_fract_z
Na1 0.0000 0.0000 0.0000
Ge1 0.0000 0.3692 0.2500
As1 0.0000 0.3393 0.7500
S1 0.0000 0.2620 0.0361
S2 0.2174 0.4852 0.7500
```

energy relative to the elements, uncorrected: -0.393 eV per atom

***

(6)
A geometry-optimized Na2GeAsS4 structure, computed with GGA-PBE.

The structure in CIF format:
```
data_Na2GeAsS4
_chemical_formula_sum 'Na4 Ge2 As2 S8'
_space_group_name_H-M_alt 'P m n 21'
_space_group_IT_number 31
_space_group_name_Hall 'P 2ac -2'
_cell_length_a 8.6864
_cell_length_b 7.0674
_cell_length_c 6.9315
_cell_angle_alpha 90.00
_cell_angle_beta 90.00
_cell_angle_gamma 90.00
loop_
_atom_site_label
_atom_site_fract_x
_atom_site_fract_y
_atom_site_fract_z
Na1 0.2473 0.1878 0.0000
Ge1 0.0000 0.3589 0.4819
As1 0.0000 0.6907 0.9502
S1 0.0000 0.3946 0.8333
S2 0.0000 0.6421 0.3448
S3 0.2221 0.2010 0.4045
```

energy relative to the elements, uncorrected: -0.519 eV per atom

***

(7)
A geometry-optimized NaGe2AsS6 structure, computed with GGA-PBE.

The structure in CIF format:
```
data_NaGe2AsS6
_chemical_formula_sum 'Na4 Ge8 As4 S24'
_space_group_name_H-M_alt 'C 1 2/c 1'
_space_group_IT_number 15
_space_group_name_Hall '-C 2yc'
_cell_length_a 13.1863
_cell_length_b 10.8540
_cell_length_c 7.1671
_cell_angle_alpha 90.00
_cell_angle_beta 111.51
_cell_angle_gamma 90.00
loop_
_atom_site_label
_atom_site_fract_x
_atom_site_fract_y
_atom_site_fract_z
Na1 0.0000 0.1448 0.2500
Ge1 0.2173 0.4081 0.1798
As1 0.0000 0.2375 0.7500
S1 0.0986 0.0887 0.6521
S2 0.1471 0.4521 0.4274
S3 0.1506 0.2208 0.1056
```

energy relative to the elements, uncorrected: -0.343 eV per atom

***

(8)
A geometry-optimized NaSc2GeAs structure, computed with GGA-PBE.

The structure in CIF format:
```
data_NaSc2GeAs
_chemical_formula_sum 'Na1 Sc2 Ge1 As1'
_space_group_name_H-M_alt 'P 4/m m m'
_space_group_IT_number 123
_space_group_name_Hall '-P 4 2'
_cell_length_a 5.0837
_cell_length_b 5.0837
_cell_length_c 4.6863
_cell_angle_alpha 90.00
_cell_angle_beta 90.00
_cell_angle_gamma 90.00
loop_
_atom_site_label
_atom_site_fract_x
_atom_site_fract_y
_atom_site_fract_z
Na1 0.0000 0.0000 0.0000
Sc1 0.0000 0.5000 0.0000
Ge1 0.0000 0.0000 0.5000
As1 0.5000 0.5000 0.5000
```

E_form: 77.5 kJ per mole of atoms

***

(9)
A geometry-optimized NaGeAs2Se structure, computed with GGA-PBE.

The structure in CIF format:
```
data_NaGeAs2Se
_chemical_formula_sum 'Na1 Ge1 As2 Se1'
_space_group_name_H-M_alt 'P 4/m m m'
_space_group_IT_number 123
_space_group_name_Hall '-P 4 2'
_cell_length_a 4.9766
_cell_length_b 4.9766
_cell_length_c 5.1679
_cell_angle_alpha 90.00
_cell_angle_beta 90.00
_cell_angle_gamma 90.00
loop_
_atom_site_label
_atom_site_fract_x
_atom_site_fract_y
_atom_site_fract_z
Na1 0.0000 0.0000 0.0000
Ge1 0.5000 0.5000 0.5000
As1 0.0000 0.5000 0.0000
Se1 0.0000 0.0000 0.5000
```

polymorph energy (0 for the lowest one): 687 meV per atom
energy relative to the elements, uncorrected: 0.985 eV per atom

***

(10)
A geometry-optimized NaGeAsSe2 structure, computed with GGA-PBE.

The structure in CIF format:
```
data_NaGeAsSe2
_chemical_formula_sum 'Na1 Ge1 As1 Se2'
_space_group_name_H-M_alt 'P 4/m m m'
_space_group_IT_number 123
_space_group_name_Hall '-P 4 2'
_cell_length_a 5.1842
_cell_length_b 5.1842
_cell_length_c 4.9434
_cell_angle_alpha 90.00
_cell_angle_beta 90.00
_cell_angle_gamma 90.00
loop_
_atom_site_label
_atom_site_fract_x
_atom_site_fract_y
_atom_site_fract_z
Na1 0.0000 0.0000 0.0000
Ge1 0.5000 0.5000 0.5000
As1 0.5000 0.5000 0.0000
Se1 0.0000 0.5000 0.5000
```

polymorph energy (0 for the lowest one): 0 meV per atom
energy relative to the elements, uncorrected: 0.106 eV per atom

***

(11)
A geometry-optimized NaGeAs2Se structure, computed with GGA-PBE.

The structure in CIF format:
```
data_NaGeAs2Se
_chemical_formula_sum 'Na1 Ge1 As2 Se1'
_space_group_name_H-M_alt 'P 4/m m m'
_space_group_IT_number 123
_space_group_name_Hall '-P 4 2'
_cell_length_a 5.0178
_cell_length_b 5.0178
_cell_length_c 5.2378
_cell_angle_alpha 90.00
_cell_angle_beta 90.00
_cell_angle_gamma 90.00
loop_
_atom_site_label
_atom_site_fract_x
_atom_site_fract_y
_atom_site_fract_z
Na1 0.0000 0.0000 0.0000
Ge1 0.5000 0.5000 0.5000
As1 0.0000 0.5000 0.5000
Se1 0.5000 0.5000 0.0000
```

polymorph energy (0 for the lowest one): 0 meV per atom
energy relative to the elements, uncorrected: 0.298 eV per atom

***

(12)
A geometry-optimized NaGeAsSe2 structure, computed with GGA-PBE.

The structure in CIF format:
```
data_NaGeAsSe2
_chemical_formula_sum 'Na1 Ge1 As1 Se2'
_space_group_name_H-M_alt 'P 4/m m m'
_space_group_IT_number 123
_space_group_name_Hall '-P 4 2'
_cell_length_a 5.1530
_cell_length_b 5.1530
_cell_length_c 4.8960
_cell_angle_alpha 90.00
_cell_angle_beta 90.00
_cell_angle_gamma 90.00
loop_
_atom_site_label
_atom_site_fract_x
_atom_site_fract_y
_atom_site_fract_z
Na1 0.0000 0.0000 0.0000
Ge1 0.5000 0.5000 0.5000
As1 0.0000 0.0000 0.5000
Se1 0.0000 0.5000 0.0000
```

polymorph energy (0 for the lowest one): 717 meV per atom
energy relative to the elements, uncorrected: 0.823 eV per atom